[1]
LuTcTe | GGA-PBE | optimized geometry

The calculation puts the polymorph energy (0 for the lowest one) at 0.000 eV per atom. The crystal system is cubic.

The structure belongs to space group F-43m (No. 216); the cell edges are 6.470, 6.470 and 6.470 Å and the angles 90.00°, 90.00° and 90.00°. The inequivalent atoms are Lu at (0.000, 0.000, 0.000), Tc at (0.250, 0.250, 0.250) and Te at (0.000, 0.000, 0.500).

[2]
Lu2TlTc | GGA-PBE | optimized geometry

The crystal system is cubic. As for the calculated total energy: -5.278 eV per atom.

The structure belongs to space group F-43m (No. 216); the cell edges are 6.967, 6.967 and 6.967 Å and the angles 90.00°, 90.00° and 90.00°. The inequivalent atoms are Lu at (0.000, 0.000, 0.000), Lu at (0.250, 0.250, 0.250), Tl at (0.250, 0.250, 0.750) and Tc at (0.000, 0.000, 0.500).

[3]
LuTlTc2 | GGA-PBE | optimized geometry

The crystal system is cubic. As for the calculated total energy: -6.553 eV per atom.

The structure belongs to space group F-43m (No. 216); the cell edges are 6.662, 6.662 and 6.662 Å and the angles 90.00°, 90.00° and 90.00°. The inequivalent atoms are Lu at (0.000, 0.000, 0.000), Tl at (0.250, 0.250, 0.750), Tc at (0.000, 0.000, 0.500) and Tc at (0.250, 0.250, 0.250).

[4]
TmLuTc | GGA-PBE | optimized geometry

The calculation puts the polymorph energy (0 for the lowest one) at 0.000 eV per atom. The crystal system is cubic. The calculated formation energy is 0.91 eV/atom.

The structure belongs to space group F-43m (No. 216); the cell edges are 6.658, 6.658 and 6.658 Å and the angles 90.00°, 90.00° and 90.00°. The inequivalent atoms are Tm at (0.000, 0.000, 0.000), Lu at (0.250, 0.250, 0.750) and Tc at (0.000, 0.000, 0.500).

[5]
LuTcW | GGA-PBE | optimized geometry

The crystal system is cubic. The calculated formation energy is 0.46 eV/atom.

The structure belongs to space group F-43m (No. 216); the cell edges are 6.274, 6.274 and 6.274 Å and the angles 90.00°, 90.00° and 90.00°. The inequivalent atoms are Lu at (0.000, 0.000, 0.000), Tc at (0.250, 0.250, 0.250) and W at (0.000, 0.000, 0.500).

[6]
Lu2ZnTc | GGA-PBE | optimized geometry

The calculation puts the polymorph energy (0 for the lowest one) at 0.409 eV per atom. The crystal system is hexagonal. The calculated formation energy is 0.40 eV/atom.

The structure belongs to space group P6_3/mmc (No. 194); the cell edges are 4.9328, 4.9328 and 8.2190 Å and the angles 90.00°, 90.00° and 120.00°. The inequivalent atoms are Lu at (0.3333, 0.6667, 0.0812), Zn at (0.0000, 0.0000, 0.0000) and Tc at (0.3333, 0.6667, 0.7500).

[7]
Lu2ZnTc | GGA-PBE | optimized geometry

The calculation puts the polymorph energy (0 for the lowest one) at 0.000 eV per atom. The crystal system is hexagonal. The calculated formation energy is -0.01 eV/atom.

The structure belongs to space group P6_3/mmc (No. 194); the cell edges are 4.4441, 4.4441 and 10.3945 Å and the angles 90.00°, 90.00° and 120.00°. The inequivalent atoms are Lu at (0.3333, 0.6667, 0.1018), Zn at (0.0000, 0.0000, 0.2500) and Tc at (0.3333, 0.6667, 0.7500).

[8]
Lu2ZnTc | GGA-PBE | optimized geometry

The calculation puts the polymorph energy (0 for the lowest one) at 0.356 eV per atom. The crystal system is hexagonal. The calculated formation energy is 0.35 eV/atom.

The structure belongs to space group P6_3/mmc (No. 194); the cell edges are 4.6913, 4.6913 and 9.3617 Å and the angles 90.00°, 90.00° and 120.00°. The inequivalent atoms are Lu at (0.3333, 0.6667, 0.0826), Zn at (0.3333, 0.6667, 0.7500) and Tc at (0.0000, 0.0000, 0.0000).

[9]
Lu2ZnTc | GGA-PBE | optimized geometry

The calculation puts the polymorph energy (0 for the lowest one) at 0.110 eV per atom. The crystal system is cubic. The calculated formation energy is 0.10 eV/atom.

The structure belongs to space group F-43m (No. 216); the cell edges are 6.748, 6.748 and 6.748 Å and the angles 90.00°, 90.00° and 90.00°. The inequivalent atoms are Lu at (0.000, 0.000, 0.000), Lu at (0.250, 0.250, 0.250), Zn at (0.000, 0.000, 0.500) and Tc at (0.250, 0.250, 0.750).

[10]
LuZnTc2 | GGA-PBE | optimized geometry

The crystal system is cubic. The calculated formation energy is -0.01 eV/atom.

The structure belongs to space group F-43m (No. 216); the cell edges are 6.416, 6.416 and 6.416 Å and the angles 90.00°, 90.00° and 90.00°. The inequivalent atoms are Lu at (0.000, 0.000, 0.000), Zn at (0.250, 0.250, 0.750), Tc at (0.000, 0.000, 0.500) and Tc at (0.250, 0.250, 0.250).

[11]
LuZrTc | GGA-PBE | optimized geometry

The crystal system is cubic. The calculated formation energy is 0.68 eV/atom.

The structure belongs to space group F-43m (No. 216); the cell edges are 6.501, 6.501 and 6.501 Å and the angles 90.00°, 90.00° and 90.00°. The inequivalent atoms are Lu at (0.000, 0.000, 0.000), Zr at (0.250, 0.250, 0.250) and Tc at (0.000, 0.000, 0.500).

[12]
Lu7Te | GGA-PBE | optimized geometry

The crystal system is orthorhombic. As for the calculated total energy: -4.647 eV per atom.

The structure belongs to space group Cmcm (No. 63); the cell edges are 3.785, 12.526 and 19.903 Å and the angles 90.00°, 90.00° and 90.00°. The inequivalent atoms are Lu at (0.000, 0.020, 0.108), Lu at (0.000, 0.245, 0.646), Lu at (0.000, 0.358, 0.012), Lu at (0.000, 0.438, 0.250) and Te at (0.000, 0.148, 0.250).